Here is a relaxed Tl3InMo crystal from the Alexandria database. Energies are from GGA-PBE.

Calculated values
The calculation puts the energy above the most stable polymorph in this dataset at 659 meV/atom. The crystal system is cubic. For the total DFT energy (no corrections), the calculation gives -14.5 eV/f.u. The calculation puts the formation energy at 1228 meV per atom. The value obtained for the total magnetization is 0.989 μB per atom.

Cell: 5.711 5.711 5.711 Å, 90.00 90.00 90.00°
Sites, in units of the cell vectors:
Tl (0.000, 0.000, 0.500)
Tl (0.000, 0.500, 0.000)
Tl (0.500, 0.000, 0.000)
In (0.000, 0.000, 0.000)
Mo (0.500, 0.500, 0.500)